No. 1
Compound: TbNdInCu
Source: Alexandria via LeMat-Bulk
Functional: PBE
Structure: optimized geometry

Summary:
The calculation puts the energy of formation at -1.11 eV/f.u. Its space group is F-43m (216). For the calculated total energy, the calculation gives -4.335 eV per atom.

Cell and atoms, written as POSCAR:
```
TbNdInCu
1.0
-1.506 -0.011 5.040
2.999 -2.335 3.636
2.601 2.909 3.528
Nd Tb Cu In
1 1 1 1
Direct
0.000 0.000 0.000
0.500 0.500 0.500
0.250 0.250 0.250
0.750 0.750 0.750
```

---

No. 2
Compound: NaCrIr3
Source: Alexandria via LeMat-Bulk
Functional: PBE
Structure: optimized geometry

Summary:
The calculation puts the energy of formation at 12.43 eV/f.u. Its space group is Pm-3m (221). For the calculated total energy, the calculation gives -5.019 eV per atom.

Cell and atoms, written as POSCAR:
```
NaCrIr3
1.0
4.390 0.000 0.000
0.000 4.390 0.000
0.000 0.000 4.390
Cr Na Ir
1 1 3
Direct
0.500 0.500 0.500
0.000 0.000 0.000
0.000 0.000 0.500
0.500 0.000 0.000
0.000 0.500 0.000
```

---

No. 3
Compound: CsSbCl3
Source: Alexandria via LeMat-Bulk
Functional: PBE
Structure: optimized geometry

Summary:
The formation energy without anion corrections is -1144 meV/atom. Its space group is Pm-3m (221). For the calculated total energy, the calculation gives -3.247 eV per atom.

Cell and atoms, written as POSCAR:
```
CsSbCl3
1.0
-3.183 4.435 -1.139
-0.093 -1.449 -5.384
-4.578 -3.054 0.901
Cl Sb Cs
3 1 1
Direct
0.000 0.500 0.000
0.000 0.000 0.500
0.500 0.000 0.000
0.000 0.000 0.000
0.500 0.500 0.500
```

---

No. 4
Compound: TlBiSb2I
Source: Alexandria via LeMat-Bulk
Functional: PBE
Structure: optimized geometry

Summary:
The formation energy without anion corrections is 420 meV/atom. Its space group is P4/mmm (123). For the calculated total energy, the calculation gives -2.789 eV per atom.

Cell and atoms, written as POSCAR:
```
TlBiSb2I
1.0
5.874 0.000 0.000
0.000 5.874 0.000
0.000 0.000 6.439
Sb Bi I Tl
2 1 1 1
Direct
0.000 0.500 0.000
0.500 0.000 0.000
0.000 0.000 0.000
0.000 0.000 0.500
0.500 0.500 0.500
```

---

No. 5
Compound: Y2TlCl
Source: Alexandria via LeMat-Bulk
Functional: PBE
Structure: optimized geometry

Summary:
The formation energy without anion corrections is -485 meV/atom. Its space group is Pmmm (47). For the calculated total energy, the calculation gives -4.770 eV per atom.

Cell and atoms, written as POSCAR:
```
Y2TlCl
1.0
-3.444 -1.058 -0.111
1.714 -5.784 1.952
-0.593 1.430 4.758
Cl Y Tl
1 2 1
Direct
0.500 0.000 0.500
0.500 0.500 0.000
0.000 0.000 0.000
0.000 0.500 0.500
```

---

No. 6
Compound: La15Sm4Cd
Source: Alexandria via LeMat-Bulk
Functional: PBE
Structure: optimized geometry

Summary:
The calculation puts the energy of formation at -0.32 eV/f.u. Its space group is P4/mmm (123). For the calculated total energy, the calculation gives -4.701 eV per atom.

Cell and atoms, written as POSCAR:
```
La15Sm4Cd
1.0
-0.018 3.313 4.009
-2.554 -3.498 2.879
22.770 -9.842 8.237
La Sm Cd
15 4 1
Direct
0.500 0.500 0.198
0.500 0.000 0.702
0.000 0.500 0.298
0.500 0.500 0.399
0.500 0.000 0.903
0.500 0.000 0.500
0.000 0.500 0.500
0.500 0.500 0.601
0.000 0.500 0.702
0.500 0.500 0.802
0.500 0.500 0.000
0.500 0.000 0.097
0.000 0.500 0.903
0.500 0.000 0.298
0.000 0.500 0.097
0.000 0.000 0.399
0.000 0.000 0.601
0.000 0.000 0.803
0.000 0.000 0.197
0.000 0.000 0.000
```

---

No. 7
Compound: LiTlCrCl6
Source: Alexandria via LeMat-Bulk
Functional: PBE
Structure: optimized geometry

Summary:
The formation energy without anion corrections is -1113 meV/atom. Its space group is P312 (149). For the calculated total energy, the calculation gives -3.889 eV per atom.

Cell and atoms, written as POSCAR:
```
LiTlCrCl6
1.0
-4.243 4.638 1.416
-1.300 1.408 6.152
4.778 4.368 0.010
Cl Li Tl Cr
6 1 1 1
Direct
0.612 0.026 0.292
0.362 0.026 0.708
0.026 0.612 0.708
0.026 0.362 0.292
0.612 0.362 0.708
0.362 0.612 0.292
0.667 0.667 0.500
0.000 0.000 0.000
0.333 0.333 0.500
```

---

No. 8
Compound: TeW3N
Source: Alexandria via LeMat-Bulk
Functional: PBE
Structure: optimized geometry

Summary:
The formation energy without anion corrections is 597 meV/atom. Its space group is Pm-3m (221). For the calculated total energy, the calculation gives -9.468 eV per atom.

Cell and atoms, written as POSCAR:
```
TeW3N
1.0
-2.533 2.013 -2.729
-3.390 -1.583 1.979
-0.080 3.371 2.559
Te N W
1 1 3
Direct
0.500 0.500 0.500
0.000 0.000 0.000
0.500 0.000 0.000
0.000 0.000 0.500
0.000 0.500 0.000
```